Entry from Alexandria: a relaxed EuMg2As2 crystal (PBEsol).

a b c (Å): 4.368 4.368 7.112
angles (deg): 90.00 90.00 120.00
Positions (direct):
Eu: 0.000 0.000 0.000
Mg: 0.333 0.667 0.634
Mg: 0.667 0.333 0.366
As: 0.333 0.667 0.250
As: 0.667 0.333 0.750

Output
- Energy of formation: -0.969 eV/atom
- DOS at the Fermi energy: 11.39 states/eV/f.u.
- Total magnetization: 7.00 μB per cell